(1)
{"formula": "ScBiPb3", "functional": "GGA-PBE", "state": "relaxed", "polymorph_energy_kcal_per_mol_atoms": 10.85, "space_group": "No. 221", "lattice": [[5.9342, 0.0000, 0.0000], [0.0000, 5.9342, 0.0000], [0.0000, 0.0000, 5.9342]], "species": ["Sc", "Bi", "Pb", "Pb", "Pb"], "frac_coords": [[0.0000, 0.0000, 0.0000], [0.5000, 0.5000, 0.5000], [0.0000, 0.5000, 0.5000], [0.5000, 0.0000, 0.5000], [0.5000, 0.5000, 0.0000]]}

***

(2)
{"formula": "ScBiPb3", "functional": "GGA-PBE", "state": "relaxed", "polymorph_energy_kcal_per_mol_atoms": 0.00, "space_group": "No. 221", "lattice": [[5.6246, 0.0000, 0.0000], [0.0000, 5.6246, 0.0000], [0.0000, 0.0000, 5.6246]], "species": ["Sc", "Bi", "Pb", "Pb", "Pb"], "frac_coords": [[0.0000, 0.0000, 0.0000], [0.5000, 0.5000, 0.5000], [0.0000, 0.0000, 0.5000], [0.0000, 0.5000, 0.0000], [0.5000, 0.0000, 0.0000]]}

***

(3)
{"formula": "ScBiPb2", "functional": "GGA-PBE", "state": "relaxed", "space_group": "No. 123", "lattice": [[4.7372, 0.0000, 0.0000], [0.0000, 4.7372, 0.0000], [0.0000, 0.0000, 5.0587]], "species": ["Sc", "Bi", "Pb", "Pb"], "frac_coords": [[0.0000, 0.0000, 0.0000], [0.5000, 0.5000, 0.0000], [0.0000, 0.5000, 0.5000], [0.5000, 0.0000, 0.5000]]}

***

(4)
{"formula": "Sc2Bi2Pb", "functional": "GGA-PBE", "state": "relaxed", "polymorph_energy_kcal_per_mol_atoms": 1.19, "space_group": "No. 127", "lattice": [[8.4846, 0.0000, 0.0000], [0.0000, 8.4846, 0.0000], [0.0000, 0.0000, 3.9019]], "species": ["Sc", "Sc", "Sc", "Sc", "Bi", "Bi", "Bi", "Bi", "Pb", "Pb"], "frac_coords": [[0.1420, 0.3580, 0.0000], [0.3580, 0.8580, 0.0000], [0.6420, 0.1420, 0.0000], [0.8580, 0.6420, 0.0000], [0.1508, 0.6508, 0.5000], [0.3492, 0.1508, 0.5000], [0.6508, 0.8492, 0.5000], [0.8492, 0.3492, 0.5000], [0.0000, 0.0000, 0.5000], [0.5000, 0.5000, 0.5000]]}

***

The records above give, respectively, calculated formation energy values of 0.8205, 0.3499, -0.1365, -0.3330 eV/atom.